1.
Material: BeSiP2Cl
Method: DFT, GGA-PBE
State: optimized geometry

abc: 4.558 4.558 4.552
angles: 90.00 90.00 90.00
Fractional positions:
P 0.500 0.000 0.000
Be 0.500 0.500 0.500
Cl 0.000 0.000 0.500
Si 0.000 0.000 0.000
P 0.000 0.500 0.000

2.
Material: SrBePCl2
Method: DFT, GGA-PBE
State: optimized geometry

abc: 4.867 4.867 4.424
angles: 90.00 90.00 90.00
Fractional positions:
P 0.000 0.000 0.500
Sr 0.500 0.500 0.500
Be 0.000 0.000 0.000
Cl 0.500 0.000 0.000
Cl 0.000 0.500 0.000

3.
Material: SrBePCl2
Method: DFT, GGA-PBE
State: optimized geometry

abc: 5.552 5.552 6.316
angles: 90.00 90.00 90.00
Fractional positions:
Sr 0.000 0.000 0.000
Cl 0.000 0.500 0.000
P 0.000 0.000 0.500
Be 0.500 0.500 0.500
Cl 0.500 0.000 0.000

Across the entries above, distance to the lowest polymorph of the same formula takes the values 0.260; 0.000; 0.929 eV/atom, respectively.
Across the entries above, uncorrected formation energy takes the values 0.893; -0.869; 0.060 eV/atom, respectively.